NaMgFeTc: optimized geometry, PBE.

Properties
V, Å³ per cell: 239.59
Total magnetization, μB/cell: 0.17
VASP energy, eV per cell: -74.6
Relative energy among the computed polymorphs, meV/atom: 38

a b c (Å): 6.2109 6.2109 6.2109
angles (deg): 90.00 90.00 90.00
Space group F-43m (No. 216)
Asymmetric unit:
Na: 0.0000 0.0000 0.0000
Mg: 0.2500 0.2500 0.7500
Fe: 0.2500 0.2500 0.2500
Tc: 0.0000 0.0000 0.5000

NaMgFeTc: optimized geometry, PBE.

Properties
V, Å³ per cell: 235.04
Total magnetization, μB/cell: 0.02
VASP energy, eV per cell: -75.2
Relative energy among the computed polymorphs, meV/atom: 0

a b c (Å): 6.1713 6.1713 6.1713
angles (deg): 90.00 90.00 90.00
Space group F-43m (No. 216)
Asymmetric unit:
Na: 0.0000 0.0000 0.0000
Mg: 0.2500 0.2500 0.7500
Fe: 0.0000 0.0000 0.5000
Tc: 0.2500 0.2500 0.2500

NaMgFeTe3: optimized geometry, PBE.

Properties
V, Å³ per cell: 332.83
Total magnetization, μB/cell: 6.23
VASP energy, eV per cell: -46.4

a b c (Å): 9.1145 3.6639 10.4706
angles (deg): 90.00 107.85 90.00
Space group P2_1/m (No. 11)
Asymmetric unit:
Na: 0.2368 0.2500 0.2819
Mg: 0.3223 0.7500 0.8664
Fe: 0.0533 0.2500 0.5897
Te: 0.0661 0.2500 0.8424
Te: 0.2404 0.7500 0.5470
Te: 0.4382 0.7500 0.1566

Mg2NbFe: optimized geometry, PBE.

Properties
V, Å³ per cell: 259.94
Total magnetization, μB/cell: 3.98
VASP energy, eV per cell: -82.2

a b c (Å): 6.3820 6.3820 6.3820
angles (deg): 90.00 90.00 90.00
Space group F-43m (No. 216)
Asymmetric unit:
Mg: 0.0000 0.0000 0.0000
Mg: 0.2500 0.2500 0.2500
Nb: 0.0000 0.0000 0.5000
Fe: 0.2500 0.2500 0.7500

MgNbFe: optimized geometry, PBE.

Properties
V, Å³ per cell: 224.82
Total magnetization, μB/cell: 9.33
VASP energy, eV per cell: -65.0
Relative energy among the computed polymorphs, meV/atom: 208

a b c (Å): 6.0806 6.0806 6.0806
angles (deg): 90.00 90.00 90.00
Space group F-43m (No. 216)
Asymmetric unit:
Mg: 0.0000 0.0000 0.0000
Nb: 0.2500 0.2500 0.2500
Fe: 0.2500 0.2500 0.7500

MgNbFe: optimized geometry, PBE.

Properties
V, Å³ per cell: 224.53
Total magnetization, μB/cell: 3.80
VASP energy, eV per cell: -67.5
Relative energy among the computed polymorphs, meV/atom: 0

a b c (Å): 6.0780 6.0780 6.0780
angles (deg): 90.00 90.00 90.00
Space group F-43m (No. 216)
Asymmetric unit:
Mg: 0.0000 0.0000 0.0000
Nb: 0.2500 0.2500 0.7500
Fe: 0.0000 0.0000 0.5000

MgNbFePb: optimized geometry, PBE.

Properties
V, Å³ per cell: 279.84
Total magnetization, μB/cell: 3.71
VASP energy, eV per cell: -87.5
Relative energy among the computed polymorphs, meV/atom: 0

a b c (Å): 6.5409 6.5409 6.5409
angles (deg): 90.00 90.00 90.00
Space group F-43m (No. 216)
Asymmetric unit:
Mg: 0.0000 0.0000 0.0000
Nb: 0.2500 0.2500 0.7500
Fe: 0.0000 0.0000 0.5000
Pb: 0.2500 0.2500 0.2500

MgNbFePb: optimized geometry, PBE.

Properties
V, Å³ per cell: 295.64
Total magnetization, μB/cell: 13.91
VASP energy, eV per cell: -85.4
Relative energy among the computed polymorphs, meV/atom: 129

a b c (Å): 6.6618 6.6618 6.6618
angles (deg): 90.00 90.00 90.00
Space group F-43m (No. 216)
Asymmetric unit:
Mg: 0.0000 0.0000 0.0000
Nb: 0.2500 0.2500 0.2500
Fe: 0.2500 0.2500 0.7500
Pb: 0.0000 0.0000 0.5000

MgNbFeSb: optimized geometry, PBE.

Properties
V, Å³ per cell: 268.45
Total magnetization, μB/cell: 7.66
VASP energy, eV per cell: -90.9
Relative energy among the computed polymorphs, meV/atom: 17

a b c (Å): 6.4509 6.4509 6.4509
angles (deg): 90.00 90.00 90.00
Space group F-43m (No. 216)
Asymmetric unit:
Mg: 0.0000 0.0000 0.0000
Nb: 0.2500 0.2500 0.7500
Fe: 0.0000 0.0000 0.5000
Sb: 0.2500 0.2500 0.2500

MgNbFeSb: optimized geometry, PBE.

Properties
V, Å³ per cell: 274.69
Total magnetization, μB/cell: 11.11
VASP energy, eV per cell: -91.2
Relative energy among the computed polymorphs, meV/atom: 0

a b c (Å): 6.5005 6.5005 6.5005
angles (deg): 90.00 90.00 90.00
Space group F-43m (No. 216)
Asymmetric unit:
Mg: 0.0000 0.0000 0.0000
Nb: 0.2500 0.2500 0.2500
Fe: 0.2500 0.2500 0.7500
Sb: 0.0000 0.0000 0.5000

MgScNbFe: optimized geometry, PBE.

Properties
V, Å³ per cell: 262.46
Total magnetization, μB/cell: 0.02
VASP energy, eV per cell: -102.1
Relative energy among the computed polymorphs, meV/atom: 34

a b c (Å): 6.4026 6.4026 6.4026
angles (deg): 90.00 90.00 90.00
Space group F-43m (No. 216)
Asymmetric unit:
Mg: 0.0000 0.0000 0.0000
Sc: 0.2500 0.2500 0.7500
Nb: 0.0000 0.0000 0.5000
Fe: 0.2500 0.2500 0.2500

MgScNbFe: optimized geometry, PBE.

Properties
V, Å³ per cell: 268.68
Total magnetization, μB/cell: 0.24
VASP energy, eV per cell: -102.6
Relative energy among the computed polymorphs, meV/atom: 0

a b c (Å): 6.4527 6.4527 6.4527
angles (deg): 90.00 90.00 90.00
Space group F-43m (No. 216)
Asymmetric unit:
Mg: 0.0000 0.0000 0.0000
Sc: 0.2500 0.2500 0.7500
Nb: 0.2500 0.2500 0.2500
Fe: 0.0000 0.0000 0.5000

NdMgFe: optimized geometry, PBE.

Properties
V, Å³ per cell: 291.31
Total magnetization, μB/cell: 5.93
VASP energy, eV per cell: -53.4

a b c (Å): 6.6290 6.6290 6.6290
angles (deg): 90.00 90.00 90.00
Space group F-43m (No. 216)
Asymmetric unit:
Nd: 0.0000 0.0000 0.0000
Mg: 0.0000 0.0000 0.5000
Fe: 0.2500 0.2500 0.7500

Mg2FeNi: optimized geometry, PBE.

Properties
V, Å³ per cell: 237.80
Total magnetization, μB/cell: 12.79
VASP energy, eV per cell: -65.7

a b c (Å): 6.1954 6.1954 6.1954
angles (deg): 90.00 90.00 90.00
Space group F-43m (No. 216)
Asymmetric unit:
Mg: 0.0000 0.0000 0.0000
Mg: 0.2500 0.2500 0.2500
Fe: 0.2500 0.2500 0.7500
Ni: 0.0000 0.0000 0.5000

Mg3Fe2Ni2: optimized geometry, PBE.

Properties
V, Å³ per cell: 305.38
Total magnetization, μB/cell: 16.39
VASP energy, eV per cell: -95.2

a b c (Å): 4.2360 4.2360 19.6514
angles (deg): 90.00 90.00 120.00
Space group R3m (No. 160, hexagonal axes)
Asymmetric unit:
Mg: 0.0000 0.0000 0.0000
Mg: 0.0000 0.0000 0.2587
Mg: 0.0000 0.0000 0.7364
Fe: 0.0000 0.0000 0.4828
Fe: 0.0000 0.0000 0.8640
Ni: 0.0000 0.0000 0.1325
Ni: 0.0000 0.0000 0.6022

MgFeNiPb: optimized geometry, PBE.

Properties
V, Å³ per cell: 254.78
Total magnetization, μB/cell: 8.72
VASP energy, eV per cell: -72.8
Relative energy among the computed polymorphs, meV/atom: 0

a b c (Å): 6.3395 6.3395 6.3395
angles (deg): 90.00 90.00 90.00
Space group F-43m (No. 216)
Asymmetric unit:
Mg: 0.0000 0.0000 0.0000
Fe: 0.2500 0.2500 0.7500
Ni: 0.2500 0.2500 0.2500
Pb: 0.0000 0.0000 0.5000

MgFeNiS3: optimized geometry, PBE.

Properties
V, Å³ per cell: 366.74
Total magnetization, μB/cell: 9.20
VASP energy, eV per cell: -121.9
Relative energy among the computed polymorphs, meV/atom: 31

a b c (Å): 3.5304 11.8172 8.7906
angles (deg): 90.00 90.00 90.00
Space group Cmcm (No. 63)
Asymmetric unit:
Mg: 0.0000 0.2415 0.2500
Fe: 0.0000 0.4716 0.7500
Ni: 0.0000 0.0000 0.0000
S: 0.0000 0.0870 0.7500
S: 0.0000 0.3582 0.5533

MgFeNiS3: optimized geometry, PBE.

Properties
V, Å³ per cell: 355.12
Total magnetization, μB/cell: 7.70
VASP energy, eV per cell: -122.7
Relative energy among the computed polymorphs, meV/atom: 0

a b c (Å): 3.4063 11.6531 8.9463
angles (deg): 90.00 90.00 90.00
Space group Cmcm (No. 63)
Asymmetric unit:
Mg: 0.0000 0.2391 0.2500
Fe: 0.0000 0.0000 0.0000
Ni: 0.0000 0.4618 0.7500
S: 0.0000 0.0830 0.7500
S: 0.0000 0.3622 0.5434

MgFeNiSn: optimized geometry, PBE.

Properties
V, Å³ per cell: 237.57
Total magnetization, μB/cell: 7.04
VASP energy, eV per cell: -78.4
Relative energy among the computed polymorphs, meV/atom: 0

a b c (Å): 6.1934 6.1934 6.1934
angles (deg): 90.00 90.00 90.00
Space group F-43m (No. 216)
Asymmetric unit:
Mg: 0.0000 0.0000 0.0000
Fe: 0.2500 0.2500 0.2500
Ni: 0.2500 0.2500 0.7500
Sn: 0.0000 0.0000 0.5000

MgTlFeNi: optimized geometry, PBE.

Properties
V, Å³ per cell: 251.54
Total magnetization, μB/cell: 9.77
VASP energy, eV per cell: -66.9
Relative energy among the computed polymorphs, meV/atom: 0

a b c (Å): 6.3125 6.3125 6.3125
angles (deg): 90.00 90.00 90.00
Space group F-43m (No. 216)
Asymmetric unit:
Mg: 0.0000 0.0000 0.0000
Tl: 0.0000 0.0000 0.5000
Fe: 0.2500 0.2500 0.7500
Ni: 0.2500 0.2500 0.2500

MgZnFeNi: optimized geometry, PBE.

Properties
V, Å³ per cell: 213.02
Total magnetization, μB/cell: 12.88
VASP energy, eV per cell: -66.1
Relative energy among the computed polymorphs, meV/atom: 15

a b c (Å): 5.9723 5.9723 5.9723
angles (deg): 90.00 90.00 90.00
Space group F-43m (No. 216)
Asymmetric unit:
Mg: 0.0000 0.0000 0.0000
Zn: 0.2500 0.2500 0.2500
Fe: 0.2500 0.2500 0.7500
Ni: 0.0000 0.0000 0.5000

MgZnFeNi: optimized geometry, PBE.

Properties
V, Å³ per cell: 205.55
Total magnetization, μB/cell: 12.20
VASP energy, eV per cell: -66.4
Relative energy among the computed polymorphs, meV/atom: 0

a b c (Å): 5.9017 5.9017 5.9017
angles (deg): 90.00 90.00 90.00
Space group F-43m (No. 216)
Asymmetric unit:
Mg: 0.0000 0.0000 0.0000
Zn: 0.2500 0.2500 0.7500
Fe: 0.0000 0.0000 0.5000
Ni: 0.2500 0.2500 0.2500

MgNpFe: optimized geometry, PBE.

Properties
V, Å³ per cell: 231.30
Total magnetization, μB/cell: 11.90
VASP energy, eV per cell: -84.1
Relative energy among the computed polymorphs, meV/atom: 0

a b c (Å): 6.1384 6.1384 6.1384
angles (deg): 90.00 90.00 90.00
Space group F-43m (No. 216)
Asymmetric unit:
Mg: 0.0000 0.0000 0.0000
Np: 0.0000 0.0000 0.5000
Fe: 0.2500 0.2500 0.7500

MgFeOsPb: optimized geometry, PBE.

Properties
V, Å³ per cell: 269.00
Total magnetization, μB/cell: 14.57
VASP energy, eV per cell: -89.8
Relative energy among the computed polymorphs, meV/atom: 0

a b c (Å): 6.4553 6.4553 6.4553
angles (deg): 90.00 90.00 90.00
Space group F-43m (No. 216)
Asymmetric unit:
Mg: 0.0000 0.0000 0.0000
Fe: 0.0000 0.0000 0.5000
Os: 0.2500 0.2500 0.7500
Pb: 0.2500 0.2500 0.2500

MgFeSbOs: optimized geometry, PBE.

Properties
V, Å³ per cell: 240.83
Total magnetization, μB/cell: 1.67
VASP energy, eV per cell: -97.3
Relative energy among the computed polymorphs, meV/atom: 0

a b c (Å): 6.2216 6.2216 6.2216
angles (deg): 90.00 90.00 90.00
Space group F-43m (No. 216)
Asymmetric unit:
Mg: 0.0000 0.0000 0.0000
Fe: 0.2500 0.2500 0.7500
Sb: 0.0000 0.0000 0.5000
Os: 0.2500 0.2500 0.2500

MgFeSiOs: optimized geometry, PBE.

Properties
V, Å³ per cell: 206.00
Total magnetization, μB/cell: 5.13
VASP energy, eV per cell: -106.7
Relative energy among the computed polymorphs, meV/atom: 0

a b c (Å): 5.9059 5.9059 5.9059
angles (deg): 90.00 90.00 90.00
Space group F-43m (No. 216)
Asymmetric unit:
Mg: 0.0000 0.0000 0.0000
Fe: 0.2500 0.2500 0.7500
Si: 0.0000 0.0000 0.5000
Os: 0.2500 0.2500 0.2500

MgTlFeOs: optimized geometry, PBE.

Properties
V, Å³ per cell: 260.44
Total magnetization, μB/cell: 12.89
VASP energy, eV per cell: -85.2
Relative energy among the computed polymorphs, meV/atom: 0

a b c (Å): 6.3861 6.3861 6.3861
angles (deg): 90.00 90.00 90.00
Space group F-43m (No. 216)
Asymmetric unit:
Mg: 0.0000 0.0000 0.0000
Tl: 0.2500 0.2500 0.2500
Fe: 0.0000 0.0000 0.5000
Os: 0.2500 0.2500 0.7500

MgFeP: optimized geometry, PBE.

Properties
V, Å³ per cell: 83.01
Total magnetization, μB/cell: 0.06
VASP energy, eV per cell: -33.8

a b c (Å): 3.7833 3.7833 5.7995
angles (deg): 90.00 90.00 90.00
Space group P4/nmm (No. 129, origin choice 2)
Asymmetric unit:
Mg: 0.2500 0.2500 0.1654
Fe: 0.2500 0.7500 0.5000
P: 0.2500 0.2500 0.7093

MgFeSn2P4: optimized geometry, PBE.

Properties
V, Å³ per cell: 380.10
Total magnetization, μB/cell: 7.16
VASP energy, eV per cell: -80.8

a b c (Å): 5.7596 5.7596 11.4583
angles (deg): 90.00 90.00 90.00
Space group I-4 (No. 82)
Asymmetric unit:
Mg: 0.0000 0.0000 0.0000
Fe: 0.0000 0.5000 0.7500
Sn: 0.0000 0.0000 0.5000
Sn: 0.0000 0.5000 0.2500
P: 0.2281 0.7303 0.8665